Entry 1:
First-principles (PBE) data for a relaxed structure of CdFeTc2, as listed in Alexandria.

Computed properties:
DFT formation energy = 7.254 kcal/mol of atoms
E_tot = -7.213 eV per atom
DOS(E_F) = 3.75 states/eV/cell
Space group = R-3m

```
CdFeTc2
1.0
-6.626 -5.903 2.627
-5.682 -7.291 0.443
-4.456 -7.578 2.892
Cd Fe Tc
1 1 2
direct
0.250 0.250 0.250
0.750 0.750 0.750
0.009 0.009 0.009
0.491 0.491 0.491
```

=====

Entry 2:
First-principles (PBE) data for a relaxed structure of CdFeTc2, as listed in Alexandria.

Computed properties:
DFT formation energy = 7.043 kcal/mol of atoms
E_tot = -7.222 eV per atom
DOS(E_F) = 3.67 states/eV/cell
Space group = P4/mmm

```
CdFeTc2
1.0
-2.405 1.265 0.272
-1.292 -2.343 -0.547
-0.059 -1.781 7.765
Cd Fe Tc
1 1 2
direct
0.500 0.500 0.250
0.500 0.500 0.750
0.000 0.000 0.963
0.000 0.000 0.537
```